Here is a relaxed Tc2IrWN crystal from Alexandria. Energies are from PBE.

Properties
ρ: 14646 kg/m3
DOS(E_F): 3.945 states/eV per cell
Total energy: -10.249 eV per atom
Raw formation energy: -0.07 eV per atom
Magnetic moment: 0.00 μB per atom

abc: 4.0291 4.0291 4.0932
angles: 90.00 90.00 90.00
Last column: nearest neighbours and their distance in Å.
Atoms (fractional coordinates):
Tc (0.0000, 0.5000, 0.0000)  2 N 2.01
Tc (0.5000, 0.0000, 0.0000)  2 N 2.01
Ir (0.0000, 0.0000, 0.5000)  4 W 2.85, 8 Tc 2.87
W (0.5000, 0.5000, 0.5000)  2 N 2.05
N (0.5000, 0.5000, 0.0000)  4 Tc 2.01, 2 W 2.05